CaTaSi2 | PBE | optimized geometry

Results
ΔE to the lowest computed polymorph = 83 meV/atom
SG = Cmmm (65)
Crystal system = orthorhombic
Energy relative to the elements, uncorrected = -0.17 eV per atom
N(E_F) = 1.845 states/eV/cell

Lattice parameters (Å, degrees): 3.0341 3.0341 8.0739 90.00 90.00 99.05
Closest atoms and distances in Å follow each position.
Sites, in units of the cell vectors:
1 Ca 0.0000 0.0000 0.0000  8 Si 2.98-3.22, 4 Ca 3.03
2 Ta 0.0000 0.0000 0.5000  8 Si 2.66-2.92
3 Si 0.5000 0.5000 0.2777  4 Ta 2.66-2.92
4 Si 0.5000 0.5000 0.7223  4 Ta 2.66-2.92


InCoSn2 | PBE | optimized geometry

Results
SG = R3m (160)
Crystal system = trigonal
E_form = 0.41 eV per formula unit
N(E_F) = 3.420 states/eV/cell

Lattice parameters (Å, degrees): 6.3765 6.3765 6.3765 39.15 39.15 39.15
Closest atoms and distances in Å follow each position.
Sites, in units of the cell vectors:
1 In 0.0000 0.0000 0.0000  1 Co 2.67
2 Co 0.1511 0.1511 0.1511  6 Sn 2.56-2.78, 1 In 2.67
3 Sn 0.5575 0.5575 0.5575  3 Co 2.78
4 Sn 0.7799 0.7799 0.7799  3 Co 2.56


Pm2Mg3Ag3 | PBE | optimized geometry

Results
SG = R3m (160)
Crystal system = trigonal
E_form = -1.94 eV per formula unit
N(E_F) = 6.314 states/eV/cell

Lattice parameters (Å, degrees): 8.7548 8.7548 8.7548 33.75 33.75 33.75
Closest atoms and distances in Å follow each position.
Sites, in units of the cell vectors:
1 Pm 0.0000 0.0000 0.0000  7 Ag 3.06-3.19, 1 Mg 3.16
2 Pm 0.4915 0.4915 0.4915  5 Ag 3.03-3.08, 3 Mg 3.16
3 Mg 0.2492 0.2492 0.2492  5 Ag 2.93-3.05, 3 Mg 3.13
4 Mg 0.7434 0.7434 0.7434  7 Ag 3.12-3.19, 1 Mg 3.19
5 Mg 0.8723 0.8723 0.8723  4 Mg 3.13-3.19, 4 Pm 3.16, 3 Ag 3.50
6 Ag 0.1273 0.1273 0.1273  4 Mg 3.02-3.19, 4 Pm 3.03-3.15
7 Ag 0.3677 0.3677 0.3677  4 Mg 2.93-3.12, 4 Pm 3.06
8 Ag 0.6161 0.6161 0.6161  4 Mg 3.05-3.15, 4 Pm 3.08-3.19


Hf2Al3Au | PBE | optimized geometry

Results
ΔE to the lowest computed polymorph = 49 meV/atom
SG = Fmmm (69)
Crystal system = orthorhombic
E_form = -2.85 eV per formula unit
N(E_F) = 3.496 states/eV/cell

Lattice parameters (Å, degrees): 8.9735 8.3813 5.4372 77.78 65.90 36.31
Closest atoms and distances in Å follow each position.
Sites, in units of the cell vectors:
1 Hf 0.2459 0.7541 0.7541  10 Al 3.01-3.02, 2 Au 3.04, 2 Hf 3.05-3.16
2 Hf 0.2500 0.2500 0.2500  8 Al 3.01-3.02, 4 Au 3.01, 2 Hf 3.11
3 Hf 0.7500 0.7500 0.7500  8 Al 3.01-3.02, 4 Au 3.01, 2 Hf 3.11
4 Hf 0.7541 0.2459 0.2459  10 Al 3.01-3.02, 2 Au 3.04, 2 Hf 3.05-3.16
5 Al 0.1675 0.1675 0.8325  1 Au 2.58, 2 Al 2.61
6 Al 0.1690 0.6644 0.3356  1 Au 2.56, 2 Al 2.59-2.61
7 Al 0.3356 0.8310 0.1690  1 Au 2.56, 2 Al 2.59-2.61
8 Al 0.6644 0.1690 0.8310  1 Au 2.56, 2 Al 2.59-2.61
9 Al 0.8310 0.3356 0.6644  1 Au 2.56, 2 Al 2.59-2.61
10 Al 0.8325 0.8325 0.1675  1 Au 2.58, 2 Al 2.61
11 Au 0.3332 0.3332 0.6668  3 Al 2.56-2.58
12 Au 0.6668 0.6668 0.3332  3 Al 2.56-2.58


LaTb2PmEr4 | PBE | optimized geometry

Results
SG = C2/m (12)
Crystal system = monoclinic
E_form = 0.15 eV per formula unit
N(E_F) = 20.879 states/eV/cell

Lattice parameters (Å, degrees): 7.1386 7.1386 12.3192 106.83 106.83 60.05
Closest atoms and distances in Å follow each position.
Sites, in units of the cell vectors:
1 La 0.0000 0.5000 0.0000  2 Tb 3.57, 2 Pm 3.57, 2 La 3.57, 6 Er 3.59
2 La 0.5000 0.0000 0.0000  2 Tb 3.57, 2 Pm 3.57, 2 La 3.57, 6 Er 3.59
3 Tb 0.0000 0.0000 0.0000  4 La 3.57, 2 Pm 3.57, 6 Er 3.58-3.59
4 Tb 0.0000 0.0000 0.5000  6 Er 3.53-3.54, 4 Tb 3.57, 2 Pm 3.57
5 Tb 0.0000 0.5000 0.5000  6 Er 3.53, 2 Pm 3.57, 4 Tb 3.57
6 Tb 0.5000 0.0000 0.5000  6 Er 3.53, 2 Pm 3.57, 4 Tb 3.57
7 Pm 0.5000 0.5000 0.0000  4 La 3.57, 2 Tb 3.57, 6 Er 3.58-3.59
8 Pm 0.5000 0.5000 0.5000  6 Er 3.53-3.54, 6 Tb 3.57
9 Er 0.2482 0.7490 0.7475  3 Tb 3.53-3.58, 2 Pm 3.54-3.58, 6 Er 3.56-3.58, 1 La 3.59
10 Er 0.2491 0.2491 0.7467  3 Tb 3.53, 6 Er 3.56-3.58, 1 Pm 3.59, 2 La 3.59
11 Er 0.2508 0.2508 0.2531  3 Tb 3.53-3.59, 1 Pm 3.53, 6 Er 3.56-3.58, 2 La 3.59
12 Er 0.2510 0.7518 0.2525  3 Tb 3.53-3.58, 2 Pm 3.54-3.58, 6 Er 3.56-3.58, 1 La 3.59
13 Er 0.7490 0.2482 0.7475  3 Tb 3.53-3.58, 2 Pm 3.54-3.58, 6 Er 3.56-3.58, 1 La 3.59
14 Er 0.7492 0.7492 0.7469  3 Tb 3.53-3.59, 1 Pm 3.53, 6 Er 3.56-3.58, 2 La 3.59
15 Er 0.7509 0.7509 0.2533  3 Tb 3.53, 6 Er 3.56-3.58, 1 Pm 3.59, 2 La 3.59
16 Er 0.7518 0.2510 0.2525  3 Tb 3.53-3.58, 2 Pm 3.54-3.58, 6 Er 3.56-3.58, 1 La 3.59


TaGa2I | PBE | optimized geometry

Results
ΔE to the lowest computed polymorph = 0 meV/atom
SG = Fm-3m (225)
Crystal system = cubic
Energy relative to the elements, uncorrected = 0.91 eV per atom
N(E_F) = 3.154 states/eV/cell

Lattice parameters (Å, degrees): 4.9415 4.9415 4.9415 60.00 60.00 60.00
Closest atoms and distances in Å follow each position.
Sites, in units of the cell vectors:
1 Ta 0.0000 0.0000 0.0000  8 Ga 3.03
2 Ga 0.2500 0.2500 0.2500  4 I 3.03, 4 Ta 3.03
3 Ga 0.7500 0.7500 0.7500  4 I 3.03, 4 Ta 3.03
4 I 0.5000 0.5000 0.5000  8 Ga 3.03


Dy3CoNi | PBE | optimized geometry

Results
ΔE to the lowest computed polymorph = 5 meV/atom
SG = C2/m (12)
Crystal system = monoclinic
E_form = -1.16 eV per formula unit
N(E_F) = 9.332 states/eV/cell

Lattice parameters (Å, degrees): 8.0010 8.0010 7.8850 95.10 95.10 26.74
Closest atoms and distances in Å follow each position.
Sites, in units of the cell vectors:
1 Dy 0.0623 0.0623 0.3296  4 Ni 2.75-2.99
2 Dy 0.2272 0.2272 0.6894  3 Co 2.78-2.96, 2 Ni 3.01
3 Dy 0.3991 0.3991 0.0529  3 Co 2.68-2.84, 1 Ni 2.81
4 Dy 0.6009 0.6009 0.9471  3 Co 2.68-2.84, 1 Ni 2.81
5 Dy 0.7728 0.7728 0.3106  3 Co 2.78-2.96, 2 Ni 3.01
6 Dy 0.9377 0.9377 0.6704  4 Ni 2.75-2.99
7 Co 0.2169 0.2169 0.0621  2 Co 2.37
8 Co 0.7831 0.7831 0.9379  2 Co 2.37
9 Ni 0.4212 0.4212 0.4111  1 Ni 2.71, 7 Dy 2.75-3.01
10 Ni 0.5788 0.5788 0.5889  1 Ni 2.71, 7 Dy 2.75-3.01


Ca2ZnHgPt | PBE | optimized geometry

Results
SG = P4/mmm (123)
Crystal system = tetragonal
E_form = -2.45 eV per formula unit
N(E_F) = 0.903 states/eV/cell

Lattice parameters (Å, degrees): 5.4980 5.4980 4.8721 90.00 90.00 90.00
Closest atoms and distances in Å follow each position.
Sites, in units of the cell vectors:
1 Ca 0.0000 0.5000 0.0000  2 Pt 2.75
2 Ca 0.5000 0.0000 0.0000  2 Pt 2.75
3 Zn 0.0000 0.0000 0.5000  2 Pt 2.44
4 Hg 0.5000 0.5000 0.5000  8 Ca 3.67, 4 Zn 3.89
5 Pt 0.0000 0.0000 0.0000  2 Zn 2.44


FeCo2As | PBE | optimized geometry

Results
SG = Pmm2 (25)
Crystal system = orthorhombic
E_form = 0.25 eV per formula unit
N(E_F) = 3.392 states/eV/cell

Lattice parameters (Å, degrees): 2.8228 3.5405 4.9060 90.00 90.00 90.00
Closest atoms and distances in Å follow each position.
Sites, in units of the cell vectors:
1 Fe 0.0000 0.0000 0.0000  6 Co 2.42-2.49, 4 As 2.70
2 Co 0.0000 0.0000 0.5071  2 Fe 2.42-2.49, 4 As 2.48, 4 Co 2.68
3 Co 0.5000 0.5000 0.7981  2 As 2.44-2.47, 4 Fe 2.47, 4 Co 2.68
4 As 0.5000 0.5000 0.3008  6 Co 2.44-2.48, 4 Fe 2.70


CsHfZr2Ga | PBE | optimized geometry

Results
SG = P4/mmm (123)
Crystal system = tetragonal
E_form = 6.67 eV per formula unit
N(E_F) = 3.913 states/eV/cell

Lattice parameters (Å, degrees): 5.2135 5.2135 5.7135 90.00 90.00 90.00
Closest atoms and distances in Å follow each position.
Sites, in units of the cell vectors:
1 Cs 0.0000 0.0000 0.0000  2 Ga 2.86
2 Hf 0.5000 0.5000 0.0000  4 Cs 3.69, 8 Zr 3.87
3 Zr 0.0000 0.5000 0.5000  2 Ga 2.61
4 Zr 0.5000 0.0000 0.5000  2 Ga 2.61
5 Ga 0.0000 0.0000 0.5000  4 Zr 2.61, 2 Cs 2.86


Tb3OsPd | PBE | optimized geometry

Results
SG = P2_1/m (11)
Crystal system = monoclinic
E_form = -1.96 eV per formula unit
N(E_F) = 6.196 states/eV/cell

Lattice parameters (Å, degrees): 7.3538 3.9953 8.3850 90.00 97.28 90.00
Closest atoms and distances in Å follow each position.
Sites, in units of the cell vectors:
1 Tb 0.1375 0.2500 0.1637  2 Os 2.83
2 Tb 0.2073 0.7500 0.5176  3 Os 2.96-3.03, 1 Pd 3.01, 1 Tb 3.23
3 Tb 0.3454 0.7500 0.8985  2 Os 2.83, 3 Pd 2.88-3.12
4 Tb 0.6546 0.2500 0.1015  2 Os 2.83, 3 Pd 2.88-3.12
5 Tb 0.7927 0.2500 0.4824  3 Os 2.96-3.03, 1 Pd 3.01, 1 Tb 3.23
6 Tb 0.8625 0.7500 0.8363  2 Os 2.83
7 Os 0.1070 0.2500 0.7527  7 Tb 2.83-3.03, 1 Pd 3.15
8 Os 0.8930 0.7500 0.2473  7 Tb 2.83-3.03, 1 Pd 3.15
9 Pd 0.4681 0.7500 0.2682  6 Tb 2.88-3.18, 1 Os 3.15
10 Pd 0.5319 0.2500 0.7318  6 Tb 2.88-3.18, 1 Os 3.15